w.
SrTeSI2, relaxed, DFT GGA-PBE; magnetic moment = 4.0 Bohr magnetons per cell; DOS(E_F) = 1.33 states/eV/atom
1.0
6.371 0.000 0.000
0.000 6.371 0.000
0.000 0.000 6.670
I Sr S Te
2 1 1 1
Cartesian
0.000 3.186 0.000 I
3.186 0.000 0.000 I
0.000 0.000 0.000 Sr
3.186 3.186 3.335 S
0.000 0.000 3.335 Te

---

x.
SrTeSI2, relaxed, DFT GGA-PBE; magnetic moment = 0.0 Bohr magnetons per cell; DOS(E_F) = 1.19 states/eV/atom
1.0
-2.740 -3.190 3.686
-0.844 -3.854 -3.963
4.728 -2.460 1.386
I Sr S Te
2 1 1 1
Cartesian
-0.422 -1.927 -1.982 I
-1.370 -1.595 1.843 I
0.572 -4.752 0.554 Sr
0.000 0.000 0.000 S
2.364 -1.230 0.693 Te

---

x takes first place; second place is 504 meV per atom up.

---

w.
TaS2I, relaxed, DFT GGA-PBE; magnetic moment = 0.0 Bohr magnetons per cell; DOS(E_F) = 0.24 states/eV/atom
1.0
-6.618 -2.433 0.514
1.203 -1.852 6.716
-4.263 2.413 5.150
I S Ta
2 4 2
Cartesian
-2.708 -2.143 3.615 I
-2.884 -0.791 7.740 I
-6.002 -1.498 2.522 S
-6.809 -2.942 5.990 S
-5.400 0.469 5.609 S
-8.965 -0.354 4.437 S
0.000 0.000 0.000 Ta
-6.794 -1.081 4.640 Ta

---

x.
TaS2I, relaxed, DFT GGA-PBE; magnetic moment = 0.0 Bohr magnetons per cell; DOS(E_F) = 0.64 states/eV/atom
1.0
0.000 3.313 3.313
3.313 0.000 3.313
3.313 3.313 0.000
I S Ta
1 2 1
Cartesian
0.000 0.000 0.000 I
1.656 1.656 1.656 S
4.969 4.969 4.969 S
3.313 3.313 3.313 Ta

---

y.
TaS2I, relaxed, DFT GGA-PBE; magnetic moment = 0.0 Bohr magnetons per cell; DOS(E_F) = 0.65 states/eV/atom
1.0
-4.462 7.256 8.221
-2.526 5.359 10.249
-1.189 8.014 8.631
I S Ta
1 2 1
Cartesian
0.000 0.000 0.000 I
-7.171 18.093 23.768 S
-1.005 2.537 3.332 S
-4.088 10.315 13.550 Ta

---

y takes first place; second place is 429 meV per atom up.